# 1
Here is a geometry-optimized La2ZnIr2Rh5 structure from the Alexandria database. Energies are from PBE.

Unit cell a=9.5787 b=9.5787 c=3.9710 alpha=90.00 beta=90.00 gamma=90.00
With the nearest neighbours (Å) after each atom.
Space group P4/mbm (No. 127)
Unique sites:
La (0.1687, 0.3313, 0.0000) (multiplicity 4)  3 Ir 2.69-2.91
Zn (0.0000, 0.0000, 0.0000) (multiplicity 2)  8 Rh 2.80
Ir (0.1324, 0.6324, 0.0000) (multiplicity 4)  6 Rh 2.66-2.68, 3 La 2.69-2.91
Rh (0.0000, 0.5000, 0.5000) (multiplicity 2)  4 Ir 2.68, 4 Rh 2.97
Rh (0.0633, 0.8040, 0.5000) (multiplicity 8)  2 Ir 2.66, 3 Rh 2.79-2.97, 2 Zn 2.80

Properties
Energy relative to the elements ... -0.30 eV per atom
E_tot ... -6.859 eV/atom
Crystal system ... tetragonal

# 2
Here is a geometry-optimized LaZn3IrRh structure from the Alexandria database. Energies are from PBE.

Unit cell a=6.3926 b=12.9966 c=5.3531 alpha=90.00 beta=90.00 gamma=90.00
With the nearest neighbours (Å) after each atom.
Space group Cmcm (No. 63)
Unique sites:
La (0.0000, 0.2195, 0.2500) (multiplicity 4)  1 Ir 2.70, 2 Rh 2.84
Zn (0.0000, 0.3597, 0.7500) (multiplicity 4)  3 Ir 2.77-2.82, 1 Rh 2.78, 4 Zn 2.97
Zn (0.1990, 0.0000, 0.0000) (multiplicity 8)  2 Ir 2.53, 3 Zn 2.54-2.68, 2 Rh 2.65
Ir (0.0000, 0.4275, 0.2500) (multiplicity 4)  7 Zn 2.53-2.82, 1 La 2.70
Rh (0.0000, 0.1460, 0.7500) (multiplicity 4)  5 Zn 2.65-2.78, 2 La 2.84

Properties
Energy relative to the elements ... -0.35 eV per atom
E_tot ... -4.509 eV/atom
Crystal system ... orthorhombic

# 3
Here is a geometry-optimized LaIr3Ru structure from the Alexandria database. Energies are from PBE.

Unit cell a=4.8411 b=4.8411 c=4.8411 alpha=90.00 beta=90.00 gamma=90.00
With the nearest neighbours (Å) after each atom.
Space group Pm-3m (No. 221)
Unique sites:
La (0.0000, 0.0000, 0.0000) (multiplicity 1)  6 Ir 2.42
Ir (0.0000, 0.0000, 0.5000) (multiplicity 3)  2 La 2.42
Ru (0.5000, 0.5000, 0.5000) (multiplicity 1)  12 Ir 3.42

Properties
Energy relative to the elements ... 2.49 eV per atom
E_tot ... -5.670 eV/atom
Offset from the most stable computed form ... 1840 meV per atom
Crystal system ... cubic

# 4
Here is a geometry-optimized La6IrRu2 structure from the Alexandria database. Energies are from PBE.

Unit cell a=15.6492 b=10.8109 c=6.4390 alpha=90.00 beta=110.04 gamma=90.00
With the nearest neighbours (Å) after each atom.
Space group C2/c (No. 15)
Unique sites:
La (0.1021, 0.0774, 0.1280) (multiplicity 8)  2 Ru 2.81-2.87, 1 Ir 3.03
La (0.1016, 0.4213, 0.1260) (multiplicity 8)  2 Ru 2.80-2.87, 1 Ir 3.04
La (0.1731, 0.2502, 0.6930) (multiplicity 8)  1 Ir 2.86
Ir (0.0000, 0.2479, 0.7500) (multiplicity 4)  6 La 2.86-3.04
Ru (0.2495, 0.4895, 0.9996) (multiplicity 8)  4 La 2.80-2.87

Properties
Energy relative to the elements ... -0.33 eV per atom
E_tot ... -6.660 eV/atom
Crystal system ... monoclinic

no.,size of the total moment (Bohr magnetons per cell)
1,0.0
2,0.0
3,0.0
4,0.0